(1)
VASP calculation (PBE) on a geometry-optimized Na8HgSb2 structure.

## Properties
Volume = 29.3 Å³ per atom
Symmetry = C2/m (12)
Total moment = 0.4 μB per cell
Uncorrected formation energy = -314 meV per atom

Cell lengths 5.1780, 8.8458, 8.7101 Å; angles 120.57, 107.29, 90.00 degrees
Element x y z (fractional)
Na: 0.3382 0.5497 0.6764
Na: 0.6623 0.8736 0.3246
Na: 0.8525 0.8516 0.7049
Na: 0.9997 0.3171 0.9994
Na: 0.1475 0.1484 0.2951
Na: 0.3377 0.1264 0.6754
Na: 0.6618 0.4503 0.3236
Na: 0.0003 0.6829 0.0006
Hg: 0.5000 0.0000 0.0000
Sb: 0.8014 0.3017 0.6028
Sb: 0.1986 0.6983 0.3972

(2)
VASP calculation (PBE) on a geometry-optimized TbYN structure.

## Properties
Volume = 24.4 Å³ per atom
Distance to the lowest polymorph of the same formula = 211 meV/atom
Symmetry = Pnma (62)
Total moment = 0.0 μB per cell
Uncorrected formation energy = -820 meV per atom

Cell lengths 3.3603, 9.2423, 9.4462 Å; angles 90.00, 90.00, 90.00 degrees
Element x y z (fractional)
N: 0.7500 0.6464 0.4597
N: 0.2500 0.1464 0.0403
N: 0.2500 0.3536 0.5403
N: 0.7500 0.8536 0.9597
Tb: 0.7500 0.3138 0.0116
Tb: 0.2500 0.8138 0.4884
Tb: 0.2500 0.6862 0.9884
Tb: 0.7500 0.1862 0.5116
Y: 0.7500 0.0012 0.1576
Y: 0.2500 0.5012 0.3424
Y: 0.2500 0.9988 0.8424
Y: 0.7500 0.4988 0.6576

(3)
VASP calculation (PBE) on a geometry-optimized Y2AsRu structure.

## Properties
Volume = 22.0 Å³ per atom
Calculated total energy = -7.546 eV per atom
Symmetry = Amm2 (38)
Total moment = 0.0 μB per cell

Cell lengths 4.1068, 4.0198, 5.7063 Å; angles 69.37, 90.00, 90.00 degrees
Element x y z (fractional)
Y: 0.0000 0.9867 0.9018
Y: 0.5000 0.2652 0.3443
Ru: 0.5000 0.5486 0.7786
As: 0.0000 0.6996 0.4754

(4)
VASP calculation (PBE) on a geometry-optimized CaOsW4 structure.

## Properties
Volume = 17.9 Å³ per atom
Calculated total energy = -10.236 eV per atom
Symmetry = F-43m (216)
Total moment = 0.0 μB per cell

Cell lengths 5.3370, 5.3370, 5.3370 Å; angles 60.00, 60.00, 60.00 degrees
Element x y z (fractional)
Ca: 0.7500 0.7500 0.7500
Os: 0.0000 0.0000 0.0000
W: 0.8731 0.3756 0.3756
W: 0.3756 0.3756 0.8731
W: 0.3756 0.8731 0.3756
W: 0.3756 0.3756 0.3756

(5)
VASP calculation (PBE) on a geometry-optimized CeDyGaOs structure.

## Properties
Volume = 21.7 Å³ per atom
Distance to the lowest polymorph of the same formula = 126 meV/atom
Symmetry = F-43m (216)
Total moment = 0.0 μB per cell

Cell lengths 4.9696, 4.9696, 4.9696 Å; angles 60.00, 60.00, 60.00 degrees
Element x y z (fractional)
Os: 0.7500 0.7500 0.7500
Ga: 0.2500 0.2500 0.2500
Ce: 0.5000 0.5000 0.5000
Dy: 0.0000 0.0000 0.0000

(6)
VASP calculation (PBE) on a geometry-optimized SrRhPb2 structure.

## Properties
Volume = 28.0 Å³ per atom
Calculated total energy = -4.268 eV per atom
Symmetry = Imm2 (44)
Total moment = 0.0 μB per cell

Cell lengths 7.3791, 7.3791, 7.3791 Å; angles 151.42, 144.30, 46.36 degrees
Element x y z (fractional)
Pb: 0.0027 0.0027 0.0000
Pb: 0.6729 0.1729 0.5000
Rh: 0.5139 0.5139 0.0000
Sr: 0.3105 0.8105 0.5000

(7)
VASP calculation (PBE) on a geometry-optimized Er3Cu4Au2 structure.

## Properties
Volume = 19.2 Å³ per atom
Calculated total energy = -4.540 eV per atom
Symmetry = C2/m (12)
Total moment = 0.0 μB per cell

Cell lengths 4.4074, 5.5983, 8.3032 Å; angles 111.35, 90.00, 113.18 degrees
Element x y z (fractional)
Er: 0.6620 0.3240 0.6723
Er: 0.0000 0.0000 0.0000
Er: 0.3380 0.6760 0.3277
Cu: 0.7292 0.4584 0.0485
Cu: 0.2708 0.5416 0.9515
Cu: 0.9422 0.8843 0.6010
Cu: 0.0578 0.1157 0.3990
Au: 0.6187 0.2374 0.2806
Au: 0.3813 0.7626 0.7194

(8)
VASP calculation (PBE) on a geometry-optimized BaTc2W structure.

## Properties
Volume = 19.0 Å³ per atom
Distance to the lowest polymorph of the same formula = 750 meV/atom
Symmetry = C2/m (12)
Total moment = 0.0 μB per cell

Cell lengths 5.8369, 5.4689, 2.9252 Å; angles 77.04, 85.37, 120.80 degrees
Element x y z (fractional)
Ba: 0.5000 0.5000 0.0000
Tc: 0.0000 0.0000 0.0000
Tc: 0.5000 0.0000 0.5000
W: 0.0000 0.5000 0.5000

(9)
VASP calculation (PBE) on a geometry-optimized ErNpRu2 structure.

## Properties
Volume = 19.2 Å³ per atom
Calculated total energy = -9.273 eV per atom
Symmetry = P4/mmm (123)
Total moment = 2.8 μB per cell

Cell lengths 3.3519, 3.3519, 6.8372 Å; angles 90.00, 90.00, 90.00 degrees
Each line ends with the local moment (μB).
Element x y z (fractional)
Np: 0.5000 0.5000 0.5000  3.16
Ru: 0.0000 0.0000 0.7299  -0.34
Ru: 0.0000 0.0000 0.2701  -0.34
Er: 0.5000 0.5000 0.0000  0.12

(10)
VASP calculation (PBE) on a geometry-optimized LiCrFe2 structure.

## Properties
Volume = 11.5 Å³ per atom
Distance to the lowest polymorph of the same formula = 106 meV/atom
Symmetry = Cmmm (65)
Total moment = 3.0 μB per cell

Cell lengths 4.4332, 4.4332, 2.4894 Å; angles 90.00, 90.00, 109.50 degrees
Each line ends with the local moment (μB).
Element x y z (fractional)
Cr: 0.0000 0.5000 0.5000  -1.14
Fe: 0.0000 0.0000 0.0000  2.10
Fe: 0.5000 0.5000 0.0000  2.10
Li: 0.5000 0.0000 0.5000  -0.05

(11)
VASP calculation (PBE) on a geometry-optimized Ce3Pm2DyS6 structure.

## Properties
Volume = 22.8 Å³ per atom
Symmetry = C2/m (12)
Total moment = 2.5 μB per cell
Uncorrected formation energy = -2038 meV per atom

Cell lengths 6.9381, 6.9381, 6.9620 Å; angles 99.58, 99.58, 120.02 degrees
Each line ends with the local moment (μB).
Element x y z (fractional)
Ce: 0.1691 0.8309 0.5000  0.71
Ce: 0.8309 0.1691 0.5000  0.71
Ce: 0.5000 0.5000 0.5000  0.70
Pm: 0.3336 0.6664 0.0000  0.00
Pm: 0.6664 0.3336 0.0000  0.00
Dy: 0.0000 0.0000 0.0000  0.00
S: 0.9185 0.5917 0.7552  -0.01
S: 0.7559 0.7559 0.2475  -0.01
S: 0.0815 0.4083 0.2448  -0.01
S: 0.5917 0.9185 0.7552  -0.01
S: 0.2441 0.2441 0.7525  -0.01
S: 0.4083 0.0815 0.2448  -0.01

(12)
VASP calculation (PBE) on a geometry-optimized LaDy4Tm3 structure.

## Properties
Volume = 32.2 Å³ per atom
Distance to the lowest polymorph of the same formula = 154 meV/atom
Symmetry = Immm (71)
Total moment = 0.0 μB per cell

Cell lengths 3.4436, 6.6397, 15.1462 Å; angles 131.10, 96.53, 90.00 degrees
Element x y z (fractional)
Dy: 0.3733 0.8780 0.7467
Dy: 0.6267 0.1220 0.2533
Dy: 0.6269 0.6389 0.2538
Dy: 0.3731 0.3611 0.7462
Tm: 0.0000 0.5000 0.0000
Tm: 0.2397 0.2197 0.4795
Tm: 0.7603 0.7803 0.5205
La: 0.5000 0.0000 0.0000